This record from the Alexandria database describes a geometry-optimized La2PrTm3Te6 structure. The functional is GGA-PBE.

Results
As for the uncorrected energy: -63.33 eV/cell. The uncorrected formation energy is -1585 kJ/mol of formula units.

Cell lengths 4.3523, 9.0412, 10.0181 Å; angles 105.79, 102.55, 90.00 degrees
With the nearest neighbours (Å) after each atom.
Element x y z (fractional)
Te (0.3377, 0.4064, 0.6754)  3 Tm 3.05, 3 La 3.24-3.25
Te (0.6623, 0.5936, 0.3246)  3 Tm 3.05, 3 La 3.24-3.25
Te (0.3291, 0.9315, 0.6583)  3 Tm 3.04-3.05, 1 Pr 3.22, 2 La 3.23
Tm (0.8333, 0.1683, 0.6666)  6 Te 3.03-3.05
La (0.1651, 0.3293, 0.3302)  6 Te 3.22-3.25
Tm (0.1667, 0.8317, 0.3334)  6 Te 3.03-3.05
La (0.8349, 0.6707, 0.6698)  6 Te 3.22-3.25
Te (0.0055, 0.7394, 0.0111)  3 Tm 3.03-3.05, 1 La 3.22, 2 Pr 3.23
Te (0.6709, 0.0685, 0.3417)  3 Tm 3.04-3.05, 1 Pr 3.22, 2 La 3.23
Tm (0.5000, 0.5000, 0.0000)  6 Te 3.05
Pr (0.5000, 0.0000, 0.0000)  6 Te 3.22-3.23
Te (0.9945, 0.2606, 0.9889)  3 Tm 3.03-3.05, 1 La 3.22, 2 Pr 3.23